# FeCo9O20 (PBE+U, optimized geometry)
data_FeCo9O20
_chemical_formula_sum 'Fe1 Co9 O20'
_space_group_name_H-M_alt 'P 1'
_space_group_IT_number 1
_cell_length_a 4.9344
_cell_length_b 7.5389
_cell_length_c 10.1378
_cell_angle_alpha 80.63
_cell_angle_beta 85.73
_cell_angle_gamma 71.33
loop_
_space_group_symop_operation_xyz
'x,y,z'
loop_
_atom_site_label
_atom_site_fract_x
_atom_site_fract_y
_atom_site_fract_z
Fe1 0.0000 0.0000 0.0000
Co1 0.1000 0.3000 0.5000
Co2 0.2032 0.5983 0.9980
Co3 0.3000 0.9000 0.5001
Co4 0.3991 0.2039 0.0026
Co5 0.5000 0.5000 0.5000
Co6 0.6009 0.7961 0.9974
Co7 0.7000 0.1000 0.4999
Co8 0.7968 0.4017 0.0020
Co9 0.9000 0.7000 0.5000
O1 0.0287 0.0803 0.5936
O2 0.0696 0.2245 0.9065
O3 0.1268 0.3827 0.0951
O4 0.1712 0.5197 0.4065
O5 0.2286 0.6803 0.5935
O6 0.2911 0.8055 0.8999
O7 0.3340 0.9768 0.0943
O8 0.3711 0.1196 0.4065
O9 0.4288 0.2803 0.5935
O10 0.4699 0.4197 0.9059
O11 0.5301 0.5803 0.0941
O12 0.5712 0.7197 0.4065
O13 0.6289 0.8804 0.5935
O14 0.6660 0.0232 0.9057
O15 0.7089 0.1945 0.1001
O16 0.7714 0.3197 0.4065
O17 0.8288 0.4803 0.5935
O18 0.8732 0.6173 0.9049
O19 0.9304 0.7755 0.0935
O20 0.9713 0.9197 0.4064
# * total DFT energy (no corrections): -5.7191 eV per atom